PBE-GGA YOsO4, optimized geometry; ΔE to the lowest computed polymorph = 0.221 eV/atom; N(E_F) = 0.2182 states/eV per atom; formation energy without anion corrections = -1.828 eV/atom; total moment = 0.15 μB/atom
1.0
6.115 1.212 0.000
0.722 6.192 0.000
0.000 0.000 6.831
Y Os O
2 2 8
direct
0.430 0.430 0.750
0.570 0.570 0.250
0.772 0.772 0.750
0.228 0.228 0.250
0.928 0.336 0.250
0.072 0.664 0.750
0.336 0.928 0.250
0.664 0.072 0.750
0.623 0.623 0.574
0.377 0.377 0.074
0.623 0.623 0.926
0.377 0.377 0.426